[1]
Below is SiTcAs after structural relaxation, with properties calculated at the PBE-GGA level.

Cell lengths 4.1702, 4.1702, 4.1702 Å; angles 60.00, 60.00, 60.00 degrees
Last column: nearest neighbours and their distance in Å.
Atoms (fractional coordinates):
Si 0.0000 0.0000 0.0000  4 Tc 2.55
Tc 0.7500 0.7500 0.7500  4 As 2.55, 4 Si 2.55
As 0.5000 0.5000 0.5000  4 Tc 2.55

Results
Excess energy over the best structure of this formula in the dataset ... 488 meV/atom
Calculated total energy ... -6.674 eV/atom
Magnetization ... 0.0 μB/f.u.

---

[2]
Below is NdGdCd after structural relaxation, with properties calculated at the PBE-GGA level.

Cell lengths 5.0912, 5.0912, 5.0912 Å; angles 60.00, 60.00, 60.00 degrees
Last column: nearest neighbours and their distance in Å.
Atoms (fractional coordinates):
Nd 0.0000 0.0000 0.0000  4 Gd 3.12
Gd 0.7500 0.7500 0.7500  4 Cd 3.12, 4 Nd 3.12
Cd 0.5000 0.5000 0.5000  4 Gd 3.12

Results
Calculated total energy ... -3.025 eV/atom
Energy of formation from the pure elements ... 413 meV per atom
Magnetization ... 0.0 μB/f.u.

---

[3]
Below is GdTm2Cd after structural relaxation, with properties calculated at the PBE-GGA level.

Cell lengths 5.5546, 6.7056, 6.7056 Å; angles 115.65, 90.00, 90.00 degrees
Last column: nearest neighbours and their distance in Å.
Atoms (fractional coordinates):
Gd 0.2500 0.1306 0.8694  5 Tm 3.24-3.52, 4 Cd 3.32-3.39
Gd 0.7500 0.8694 0.1306  5 Tm 3.24-3.52, 4 Cd 3.32-3.39
Tm 0.2500 0.1860 0.3745  4 Gd 3.24-3.50, 1 Cd 3.30, 6 Tm 3.31-3.51
Tm 0.2500 0.6712 0.3490  4 Cd 3.20-3.52, 4 Tm 3.31-3.38, 1 Gd 3.52
Tm 0.7500 0.3490 0.6712  4 Cd 3.20-3.52, 4 Tm 3.31-3.38, 1 Gd 3.52
Tm 0.7500 0.3745 0.1860  4 Gd 3.24-3.50, 1 Cd 3.30, 6 Tm 3.31-3.51
Cd 0.2500 0.6292 0.8549  5 Tm 3.20-3.52, 4 Gd 3.32-3.39
Cd 0.7500 0.8549 0.6292  5 Tm 3.20-3.52, 4 Gd 3.32-3.39

Results
Excess energy over the best structure of this formula in the dataset ... 28 meV/atom
Calculated total energy ... -3.703 eV/atom
Energy of formation from the pure elements ... -78 meV per atom
Magnetization ... 0.0 μB/f.u.

---

[4]
Below is BiW4N3 after structural relaxation, with properties calculated at the PBE-GGA level.

Cell lengths 3.3003, 3.3003, 23.2744 Å; angles 90.00, 90.00, 120.00 degrees
Last column: nearest neighbours and their distance in Å.
Atoms (fractional coordinates):
Bi 0.3333 0.6667 0.2500  6 W 3.24, 6 Bi 3.30
Bi 0.6667 0.3333 0.7500  6 W 3.24, 6 Bi 3.30
W 0.0000 0.0000 0.1375  3 N 2.07
W 0.0000 0.0000 0.3625  3 N 2.07
W 0.0000 0.0000 0.6375  3 N 2.07
W 0.0000 0.0000 0.8625  3 N 2.07
W 0.3333 0.6667 0.0544  6 N 2.21-2.29
W 0.3333 0.6667 0.4456  6 N 2.21-2.29
W 0.6667 0.3333 0.5544  6 N 2.21-2.29
W 0.6667 0.3333 0.9456  6 N 2.21-2.29
N 0.0000 0.0000 0.0000  6 W 2.29
N 0.0000 0.0000 0.5000  6 W 2.29
N 0.3333 0.6667 0.6025  6 W 2.07-2.21
N 0.3333 0.6667 0.8975  6 W 2.07-2.21
N 0.6667 0.3333 0.1025  6 W 2.07-2.21
N 0.6667 0.3333 0.3975  6 W 2.07-2.21

Results
Calculated total energy ... -9.649 eV/atom
Magnetization ... 0.0 μB/f.u.